No. 1
Density functional theory data (GGA-PBE) for crystalline KAgP2 at its relaxed geometry.

Unit cell a=3.730 b=3.730 c=6.654 alpha=90.00 beta=90.00 gamma=90.00
Fractional coordinates of all 4 atoms:
K: 0.000 0.000 0.000
Ag: 0.000 0.000 0.500
P: 0.500 0.500 0.342
P: 0.500 0.500 0.658

Results
- Energy relative to the elements: 0.025 eV/atom
- ρ: 3.75 Mg/m³
- Size of the total moment: 0.000 μB per atom
- Energy above the lowest structure with this stoichiometry: 0.189 eV per atom
- Uncorrected energy: -3.6672 eV/atom

No. 2
Density functional theory data (GGA-PBE) for crystalline KAgP at its relaxed geometry.

Unit cell a=4.232 b=4.232 c=5.144 alpha=90.00 beta=90.00 gamma=120.00
Fractional coordinates of all 3 atoms:
K: 0.000 0.000 0.000
Ag: 0.667 0.333 0.500
P: 0.333 0.667 0.500

Results
- Energy relative to the elements: -0.142 eV/atom
- ρ: 3.70 Mg/m³
- Size of the total moment: 0.000 μB per atom
- Energy above the lowest structure with this stoichiometry: 0.073 eV per atom
- Uncorrected energy: -3.2612 eV/atom

No. 3
Density functional theory data (GGA-PBE) for crystalline KAgP at its relaxed geometry.

Unit cell a=4.841 b=4.841 c=4.841 alpha=60.00 beta=60.00 gamma=60.00
Fractional coordinates of all 3 atoms:
K: 0.000 0.000 0.000
Ag: 0.500 0.500 0.500
P: 0.250 0.250 0.250

Results
- Energy relative to the elements: 0.310 eV/atom
- ρ: 3.68 Mg/m³
- Size of the total moment: 0.285 μB per atom
- Energy above the lowest structure with this stoichiometry: 0.524 eV per atom
- Uncorrected energy: -2.8099 eV/atom

No. 4
Density functional theory data (GGA-PBE) for crystalline KAgPPd2 at its relaxed geometry.

Unit cell a=4.669 b=4.669 c=4.901 alpha=90.00 beta=90.00 gamma=90.00
Fractional coordinates of all 5 atoms:
K: 0.000 0.000 0.000
Ag: 0.500 0.500 0.000
P: 0.500 0.500 0.500
Pd: 0.000 0.500 0.500
Pd: 0.500 0.000 0.500

Results
- Energy relative to the elements: -0.197 eV/atom
- ρ: 6.07 Mg/m³
- Size of the total moment: 0.000 μB per atom
- Uncorrected energy: -4.1461 eV/atom

Calculated volume (Å³ per atom), listed in the same order as above: 23.1 26.6 26.7 21.4